No. 1
Here is a relaxed Pr7Sm12Mg crystal from the Alexandria database. Energies are from PBE.

The energy of formation from the pure elements is 0.187 eV per atom.

Cell lengths 12.2816, 12.2816, 16.0578 Å; angles 90.00, 90.00, 120.00 degrees
With the nearest neighbours (Å) after each atom.
Space group R-3 (No. 148, hexagonal axes)
Asymmetric unit:
Pr (0.0000, 0.0000, 0.0000) [3 per cell]  6 Sm 3.32
Pr (0.0573, 0.8706, 0.2932) [18 per cell]  3 Pr 3.49-3.52, 7 Sm 3.59-3.85, 1 Mg 3.89
Sm (0.0330, 0.5793, 0.2161) [18 per cell]  5 Sm 3.34-3.65, 1 Mg 3.38, 2 Pr 3.62-3.65
Sm (0.0546, 0.4699, 0.5839) [18 per cell]  4 Sm 3.26-3.53, 2 Pr 3.32-3.59
Mg (0.0000, 0.0000, 0.5000) [3 per cell]  6 Sm 3.38

No. 2
Here is a relaxed Pr2SmMg9 crystal from the Alexandria database. Energies are from PBE.

The energy of formation from the pure elements is -0.064 eV per atom.

Cell lengths 6.0924, 6.0924, 29.7772 Å; angles 90.00, 90.00, 120.00 degrees
With the nearest neighbours (Å) after each atom.
Space group R-3m (No. 166, hexagonal axes)
Asymmetric unit:
Pr (0.0000, 0.0000, 0.1423) [6 per cell]  12 Mg 3.52-3.67, 3 Pr 3.81
Sm (0.0000, 0.0000, 0.0000) [3 per cell]  18 Mg 3.52-3.92
Mg (0.0000, 0.0000, 0.3339) [6 per cell]  6 Mg 3.02-3.03
Mg (0.0000, 0.0000, 0.5000) [3 per cell]  6 Mg 3.06
Mg (0.0028, 0.5014, 0.9173) [18 per cell]  7 Mg 3.02-3.07

No. 3
Here is a relaxed PrSm2Mg8 crystal from the Alexandria database. Energies are from PBE.

The energy of formation from the pure elements is 0.025 eV per atom.

Cell lengths 5.2646, 7.3738, 15.4081 Å; angles 90.00, 90.00, 90.00 degrees
With the nearest neighbours (Å) after each atom.
Space group Immm (No. 71)
Asymmetric unit:
Pr (0.0000, 0.0000, 0.0000) [2 per cell]  8 Mg 3.11-3.38
Sm (0.0000, 0.0000, 0.3052) [4 per cell]  10 Mg 3.15-3.44
Mg (0.0000, 0.2131, 0.5000) [4 per cell]  7 Mg 3.14-3.49, 2 Pr 3.38, 2 Sm 3.39
Mg (0.0000, 0.2861, 0.1484) [8 per cell]  1 Pr 3.11, 3 Sm 3.15-3.21, 4 Mg 3.15-3.38
Mg (0.0000, 0.5000, 0.3388) [4 per cell]  8 Mg 3.26-3.38, 2 Sm 3.44, 2 Pr 3.62

No. 4
Here is a relaxed Pr3Sm12Mg crystal from the Alexandria database. Energies are from PBE.

The energy of formation from the pure elements is 0.017 eV per atom.

Cell lengths 5.1195, 5.1195, 20.5247 Å; angles 90.00, 90.00, 90.00 degrees
With the nearest neighbours (Å) after each atom.
Space group P4/mmm (No. 123)
Asymmetric unit:
Pr (0.0000, 0.0000, 0.0000) [1 per cell]  12 Sm 3.62-3.65
Pr (0.0000, 0.0000, 0.2534) [2 per cell]  12 Sm 3.62-3.65
Sm (0.0000, 0.5000, 0.1267) [4 per cell]  8 Sm 3.62-3.68, 4 Pr 3.65
Sm (0.0000, 0.5000, 0.3789) [4 per cell]  2 Mg 3.57, 8 Sm 3.57-3.62, 2 Pr 3.63
Sm (0.5000, 0.5000, 0.0000) [1 per cell]  4 Pr 3.62, 8 Sm 3.65
Sm (0.5000, 0.5000, 0.2557) [2 per cell]  8 Sm 3.60-3.68, 4 Pr 3.62
Sm (0.5000, 0.5000, 0.5000) [1 per cell]  8 Sm 3.57, 4 Mg 3.62
Mg (0.0000, 0.0000, 0.5000) [1 per cell]  12 Sm 3.57-3.62

No. 5
Here is a relaxed Pr6Sm12Mg crystal from the Alexandria database. Energies are from PBE.

The energy of formation from the pure elements is 0.124 eV per atom.

Cell lengths 13.2763, 13.2763, 13.1963 Å; angles 90.00, 90.00, 120.00 degrees
With the nearest neighbours (Å) after each atom.
Space group R-3m (No. 166, hexagonal axes)
Asymmetric unit:
Pr (0.0908, 0.1817, 0.2745) [18 per cell]  4 Sm 3.41-3.57, 3 Pr 3.62-3.82, 1 Mg 3.64
Sm (0.0000, 0.2620, 0.5000) [18 per cell]  4 Pr 3.41-3.57, 1 Mg 3.48, 6 Sm 3.48-3.70
Sm (0.0573, 0.5286, 0.6125) [18 per cell]  5 Sm 3.25-3.55
Mg (0.0000, 0.0000, 0.5000) [3 per cell]  6 Sm 3.48, 6 Pr 3.64

No. 6
Here is a relaxed Pr4Sm10Mg crystal from the Alexandria database. Energies are from PBE.

The energy of formation from the pure elements is 0.323 eV per atom.

Cell lengths 9.9835, 9.9835, 10.6537 Å; angles 90.00, 90.00, 90.00 degrees
With the nearest neighbours (Å) after each atom.
Space group I4/m (No. 87)
Asymmetric unit:
Pr (0.0647, 0.3253, 0.0000) [8 per cell]  2 Sm 3.25, 1 Mg 3.31
Sm (0.0000, 0.5000, 0.2500) [4 per cell]  4 Sm 3.24, 4 Pr 3.25
Sm (0.1120, 0.2104, 0.3379) [16 per cell]  5 Sm 3.24-3.45
Mg (0.0000, 0.0000, 0.0000) [2 per cell]  4 Pr 3.31

No. 7
Here is a relaxed Pr2Sm3Mg2 crystal from the Alexandria database. Energies are from PBE.

The energy of formation from the pure elements is 0.026 eV per atom.

Cell lengths 3.8141, 31.6276, 3.7218 Å; angles 90.00, 90.00, 90.00 degrees
With the nearest neighbours (Å) after each atom.
Space group Cmmm (No. 65)
Asymmetric unit:
Pr (0.0000, 0.2038, 0.0000) [4 per cell]  4 Mg 3.35, 4 Pr 3.49-3.72
Sm (0.0000, 0.0781, 0.0000) [4 per cell]  4 Mg 3.29, 4 Sm 3.63
Sm (0.0000, 0.5000, 0.5000) [2 per cell]  12 Sm 3.63-3.81
Mg (0.0000, 0.3607, 0.5000) [4 per cell]  4 Sm 3.29, 4 Pr 3.35

No. 8
Here is a relaxed Pr12Sm6Mg crystal from the Alexandria database. Energies are from PBE.

The energy of formation from the pure elements is 0.111 eV per atom.

Cell lengths 12.2611, 12.2611, 15.5238 Å; angles 90.00, 90.00, 120.00 degrees
With the nearest neighbours (Å) after each atom.
Space group R-3 (No. 148, hexagonal axes)
Asymmetric unit:
Pr (0.0048, 0.1757, 0.3123) [18 per cell]  4 Sm 3.57-3.79, 5 Pr 3.59-3.97, 1 Mg 3.61
Pr (0.0474, 0.8478, 0.9159) [18 per cell]  3 Sm 3.42-3.57, 4 Pr 3.42-3.73
Sm (0.0195, 0.4290, 0.1889) [18 per cell]  7 Pr 3.42-3.79, 1 Mg 3.49, 2 Sm 3.54
Mg (0.0000, 0.0000, 0.5000) [3 per cell]  6 Sm 3.49, 6 Pr 3.61

No. 9
Here is a relaxed Pr2SmMg crystal from the Alexandria database. Energies are from PBE.

The energy of formation from the pure elements is 0.038 eV per atom.

Cell lengths 8.0344, 8.0344, 8.0344 Å; angles 90.00, 90.00, 90.00 degrees
With the nearest neighbours (Å) after each atom.
Space group Fm-3m (No. 225)
Asymmetric unit:
Pr (0.2500, 0.2500, 0.2500) [8 per cell]  4 Mg 3.48, 4 Sm 3.48
Sm (0.0000, 0.0000, 0.0000) [4 per cell]  8 Pr 3.48
Mg (0.0000, 0.0000, 0.5000) [4 per cell]  8 Pr 3.48

No. 10
Here is a relaxed Pr2Sm4Mg crystal from the Alexandria database. Energies are from PBE.

The energy of formation from the pure elements is 0.081 eV per atom.

Cell lengths 6.1196, 6.6907, 11.7716 Å; angles 90.00, 105.14, 90.00 degrees
With the nearest neighbours (Å) after each atom.
Space group P2_1/m (No. 11)
Asymmetric unit:
Pr (0.0963, 0.2500, 0.0064) [2 per cell]  4 Sm 3.31-3.62, 1 Mg 3.42, 2 Pr 3.54
Pr (0.2181, 0.2500, 0.5734) [2 per cell]  9 Sm 3.37-3.71
Sm (0.1432, 0.0001, 0.2844) [4 per cell]  5 Sm 3.34-3.58, 1 Mg 3.41, 3 Pr 3.53-3.71
Sm (0.3536, 0.7500, 0.5581) [2 per cell]  1 Mg 3.23, 4 Pr 3.37-3.46, 4 Sm 3.56-3.57
Sm (0.4836, 0.7500, 0.1229) [2 per cell]  3 Mg 3.31-3.50, 3 Pr 3.31-3.56, 2 Sm 3.58
Mg (0.3508, 0.7500, 0.8318) [2 per cell]  6 Sm 3.23-3.50, 1 Pr 3.42